1.
# Pm2AgIr SCAN single point on PBEsol structure
# Electronic total energy, eV/atom: -48.2185
# Energy relative to the elements, eV per atom: -0.609
# D(E_F), states/eV per atom: 0.62
data_Pm2AgIr
_space_group_name_H-M_alt 'F m -3 m'
_space_group_IT_number 225
_space_group_name_Hall '-F 4 2 3'
_cell_length_a 7.087
_cell_length_b 7.087
_cell_length_c 7.087
_cell_angle_alpha 90.00
_cell_angle_beta 90.00
_cell_angle_gamma 90.00
loop_
_atom_site_label
_atom_site_type_symbol
_atom_site_fract_x
_atom_site_fract_y
_atom_site_fract_z
_atom_site_occupancy
Pm1 Pm 0.250 0.250 0.250 1
Ag1 Ag 0.000 0.000 0.000 1
Ir1 Ir 0.000 0.000 0.500 1


2.
# NbReSi SCAN single point on PBEsol structure
# Electronic total energy, eV/atom: -38.6348
# Formation energy from raw total energies, eV/atom: -0.554
# D(E_F), states/eV per atom: 0.48
data_NbReSi
_space_group_name_H-M_alt 'I m a 2'
_space_group_IT_number 46
_cell_length_a 6.905
_cell_length_b 11.555
_cell_length_c 6.692
_cell_angle_alpha 90.00
_cell_angle_beta 90.00
_cell_angle_gamma 90.00
loop_
_space_group_symop_operation_xyz
'x,y,z'
'-x,-y,z'
'-x+1/2,y,z'
'x+1/2,-y,z'
'x+1/2,y+1/2,z+1/2'
'-x+1/2,-y+1/2,z+1/2'
'-x,y+1/2,z+1/2'
'x,-y+1/2,z+1/2'
loop_
_atom_site_label
_atom_site_type_symbol
_atom_site_fract_x
_atom_site_fract_y
_atom_site_fract_z
_atom_site_occupancy
Nb1 Nb 0.250 0.004 0.000 1
Nb2 Nb 0.250 0.212 0.381 1
Nb3 Nb 0.250 0.696 0.884 1
Re1 Re 0.000 0.000 0.338 1
Re2 Re 0.034 0.627 0.215 1
Si1 Si 0.004 0.668 0.586 1
Si2 Si 0.250 0.025 0.600 1


3.
# BaLa3Ni2O8 SCAN single point on PBEsol structure
# Electronic total energy, eV/atom: -20.7591
# Formation energy from raw total energies, eV/atom: -2.826
# D(E_F), states/eV per atom: 0.30
data_BaLa3Ni2O8
_space_group_name_H-M_alt 'A m m 2'
_space_group_IT_number 38
_cell_length_a 5.418
_cell_length_b 5.411
_cell_length_c 12.564
_cell_angle_alpha 90.00
_cell_angle_beta 90.00
_cell_angle_gamma 90.00
loop_
_space_group_symop_operation_xyz
'x,y,z'
'-x,-y,z'
'-x,y,z'
'x,-y,z'
'x,y+1/2,z+1/2'
'-x,-y+1/2,z+1/2'
'-x,y+1/2,z+1/2'
'x,-y+1/2,z+1/2'
loop_
_atom_site_label
_atom_site_type_symbol
_atom_site_fract_x
_atom_site_fract_y
_atom_site_fract_z
_atom_site_occupancy
Ba1 Ba 0.000 0.000 0.000 1
La1 La 0.000 0.000 0.278 1
La2 La 0.500 0.000 0.509 1
La3 La 0.500 0.000 0.783 1
Ni1 Ni 0.000 0.000 0.643 1
Ni2 Ni 0.500 0.000 0.140 1
O1 O 0.000 0.000 0.470 1
O2 O 0.000 0.000 0.799 1
O3 O 0.258 0.244 0.650 1
O4 O 0.500 0.000 0.321 1
O5 O 0.500 0.000 0.971 1


4.
# NbAuF3 SCAN single point on PBEsol structure
# Electronic total energy, eV/atom: -24.2210
# Offset from the most stable computed form, meV per atom: 0
# Formation energy from raw total energies, eV/atom: -1.640
# D(E_F), states/eV per atom: 0.81
data_NbAuF3
_space_group_name_H-M_alt 'P m -3 m'
_space_group_IT_number 221
_space_group_name_Hall '-P 4 2 3'
_cell_length_a 4.183
_cell_length_b 4.183
_cell_length_c 4.183
_cell_angle_alpha 90.00
_cell_angle_beta 90.00
_cell_angle_gamma 90.00
loop_
_atom_site_label
_atom_site_type_symbol
_atom_site_fract_x
_atom_site_fract_y
_atom_site_fract_z
_atom_site_occupancy
Nb1 Nb 0.000 0.000 0.000 1
Au1 Au 0.500 0.500 0.500 1
F1 F 0.000 0.000 0.500 1


5.
# K3HoSi3O9 SCAN single point on PBEsol structure
# Electronic total energy, eV/atom: -12.9907
# Formation energy from raw total energies, eV/atom: -2.984
# D(E_F), states/eV per atom: 0.00
data_K3HoSi3O9
_space_group_name_H-M_alt 'P m n 21'
_space_group_IT_number 31
_cell_length_a 13.812
_cell_length_b 5.808
_cell_length_c 12.832
_cell_angle_alpha 90.00
_cell_angle_beta 90.00
_cell_angle_gamma 90.00
loop_
_space_group_symop_operation_xyz
'x,y,z'
'-x+1/2,-y,z+1/2'
'-x,y,z'
'x+1/2,-y,z+1/2'
loop_
_atom_site_label
_atom_site_type_symbol
_atom_site_fract_x
_atom_site_fract_y
_atom_site_fract_z
_atom_site_occupancy
K1 K 0.000 0.158 0.000 1
K2 K 0.000 0.233 0.258 1
K3 K 0.000 0.810 0.714 1
K4 K 0.000 0.813 0.465 1
K5 K 0.209 0.344 0.777 1
Ho1 Ho 0.240 0.836 0.611 1
Si1 Si 0.110 0.315 0.519 1
Si2 Si 0.115 0.662 0.090 1
Si3 Si 0.214 0.836 0.898 1
O1 O 0.000 0.333 0.464 1
O2 O 0.000 0.729 0.103 1
O3 O 0.116 0.083 0.587 1
O4 O 0.131 0.554 0.580 1
O5 O 0.134 0.402 0.132 1
O6 O 0.135 0.671 0.962 1
O7 O 0.172 0.862 0.152 1
O8 O 0.178 0.291 0.412 1
O9 O 0.187 0.822 0.776 1
O10 O 0.213 0.091 0.947 1


6.
# Cu2ReTeMo SCAN single point on PBEsol structure
# Electronic total energy, eV/atom: -33.1545
# Formation energy from raw total energies, eV/atom: 1.572
# D(E_F), states/eV per atom: 0.64
data_Cu2ReTeMo
_space_group_name_H-M_alt 'P 4/m m m'
_space_group_IT_number 123
_space_group_name_Hall '-P 4 2'
_cell_length_a 4.644
_cell_length_b 4.644
_cell_length_c 4.896
_cell_angle_alpha 90.00
_cell_angle_beta 90.00
_cell_angle_gamma 90.00
loop_
_atom_site_label
_atom_site_type_symbol
_atom_site_fract_x
_atom_site_fract_y
_atom_site_fract_z
_atom_site_occupancy
Cu1 Cu 0.000 0.500 0.000 1
Re1 Re 0.000 0.000 0.000 1
Te1 Te 0.000 0.000 0.500 1
Mo1 Mo 0.500 0.500 0.500 1


7.
# LiCoIr2 SCAN single point on PBEsol structure
# Electronic total energy, eV/atom: -40.4072
# Offset from the most stable computed form, meV per atom: 127
# Energy relative to the elements, eV per atom: 0.066
# D(E_F), states/eV per atom: 0.63
data_LiCoIr2
_space_group_name_H-M_alt 'P 4 m m'
_space_group_IT_number 99
_cell_length_a 2.715
_cell_length_b 2.715
_cell_length_c 6.722
_cell_angle_alpha 90.00
_cell_angle_beta 90.00
_cell_angle_gamma 90.00
loop_
_space_group_symop_operation_xyz
'x,y,z'
'-y,x,z'
'-x,-y,z'
'y,-x,z'
'-x,y,z'
'y,x,z'
'x,-y,z'
'-y,-x,z'
loop_
_atom_site_label
_atom_site_type_symbol
_atom_site_fract_x
_atom_site_fract_y
_atom_site_fract_z
_atom_site_occupancy
Li1 Li 0.000 0.000 0.000 1
Co1 Co 0.500 0.500 0.229 1
Ir1 Ir 0.000 0.000 0.471 1
Ir2 Ir 0.500 0.500 0.746 1


8.
# Cu3Pt2 SCAN single point on PBEsol structure
# Electronic total energy, eV/atom: -37.3442
# Offset from the most stable computed form, meV per atom: 0
# Energy relative to the elements, eV per atom: -0.147
# D(E_F), states/eV per atom: 0.44
data_Cu3Pt2
_space_group_name_H-M_alt 'R -3 m'
_space_group_IT_number 166
_space_group_name_Hall '-R 3 2"'
_cell_length_a 2.6696
_cell_length_b 2.6696
_cell_length_c 31.6615
_cell_angle_alpha 90.00
_cell_angle_beta 90.00
_cell_angle_gamma 120.00
loop_
_atom_site_label
_atom_site_type_symbol
_atom_site_fract_x
_atom_site_fract_y
_atom_site_fract_z
_atom_site_occupancy
Cu1 Cu 0.0000 0.0000 0.0000 1
Cu2 Cu 0.0000 0.0000 0.1975 1
Pt1 Pt 0.0000 0.0000 0.4011 1


9.
# Pt5Au4 SCAN single point on PBEsol structure
# Electronic total energy, eV/atom: -69.6390
# Energy relative to the elements, eV per atom: 0.094
# D(E_F), states/eV per atom: 0.75
data_Pt5Au4
_space_group_name_H-M_alt 'I 4/m m m'
_space_group_IT_number 139
_space_group_name_Hall '-I 4 2'
_cell_length_a 8.491
_cell_length_b 8.491
_cell_length_c 3.945
_cell_angle_alpha 90.00
_cell_angle_beta 90.00
_cell_angle_gamma 90.00
loop_
_atom_site_label
_atom_site_type_symbol
_atom_site_fract_x
_atom_site_fract_y
_atom_site_fract_z
_atom_site_occupancy
Pt1 Pt 0.000 0.000 0.000 1
Pt2 Pt 0.165 0.165 0.500 1
Au1 Au 0.000 0.331 0.000 1


10.
# CsRu3F SCAN single point on PBEsol structure
# Electronic total energy, eV/atom: -27.6363
# Offset from the most stable computed form, meV per atom: 0
# Formation energy from raw total energies, eV/atom: 1.530
# D(E_F), states/eV per atom: 0.81
data_CsRu3F
_space_group_name_H-M_alt 'P m -3 m'
_space_group_IT_number 221
_space_group_name_Hall '-P 4 2 3'
_cell_length_a 4.531
_cell_length_b 4.531
_cell_length_c 4.531
_cell_angle_alpha 90.00
_cell_angle_beta 90.00
_cell_angle_gamma 90.00
loop_
_atom_site_label
_atom_site_type_symbol
_atom_site_fract_x
_atom_site_fract_y
_atom_site_fract_z
_atom_site_occupancy
Cs1 Cs 0.000 0.000 0.000 1
Ru1 Ru 0.000 0.500 0.500 1
F1 F 0.500 0.500 0.500 1


- Look up the electronic total energy of the third one.
  -20.7591 eV/atom


Please write out number 4 again, unchanged.
# NbAuF3 SCAN single point on PBEsol structure
# Electronic total energy, eV/atom: -24.2210
# Offset from the most stable computed form, meV per atom: 0
# Formation energy from raw total energies, eV/atom: -1.640
# D(E_F), states/eV per atom: 0.81
data_NbAuF3
_space_group_name_H-M_alt 'P m -3 m'
_space_group_IT_number 221
_space_group_name_Hall '-P 4 2 3'
_cell_length_a 4.183
_cell_length_b 4.183
_cell_length_c 4.183
_cell_angle_alpha 90.00
_cell_angle_beta 90.00
_cell_angle_gamma 90.00
loop_
_atom_site_label
_atom_site_type_symbol
_atom_site_fract_x
_atom_site_fract_y
_atom_site_fract_z
_atom_site_occupancy
Nb1 Nb 0.000 0.000 0.000 1
Au1 Au 0.500 0.500 0.500 1
F1 F 0.000 0.000 0.500 1


- Which formula does entry 8 have?
  Cu3Pt2


- Which of these has the lowest D(E_F)?
  K3HoSi3O9